No. 1
Entry from the Alexandria database: crystalline SmDy5Sc3 at its relaxed geometry (PBE-GGA).

Output
formation enthalpy at 0 K: 0.572 eV/atom
space-group type: No. 12
E_tot: -4.620 eV per atom

a b c (Å): 8.641 8.641 10.385
angles (deg): 117.03 117.03 76.55
Positions (direct):
Sm  0.235  0.235  0.330
Sm  0.765  0.765  0.670
Dy  0.153  0.153  0.592
Dy  0.163  0.633  0.263
Dy  0.279  0.721  0.000
Dy  0.301  0.301  0.989
Dy  0.367  0.837  0.737
Dy  0.633  0.163  0.263
Dy  0.699  0.699  0.011
Dy  0.721  0.279  0.000
Dy  0.837  0.367  0.737
Dy  0.847  0.847  0.408
Sc  0.000  0.000  0.000
Sc  0.027  0.027  0.763
Sc  0.428  0.428  0.740
Sc  0.500  0.500  0.500
Sc  0.572  0.572  0.260
Sc  0.973  0.973  0.237

---

No. 2
Entry from the Alexandria database: crystalline Sm4Dy8Sc at its relaxed geometry (PBE-GGA).

Output
formation enthalpy at 0 K: 0.520 eV/atom
space-group type: No. 166
E_tot: -4.251 eV per atom

a b c (Å): 7.724 7.724 7.724
angles (deg): 90.09 90.09 90.09
Positions (direct):
Sm  0.000  0.000  0.000
Sm  0.000  0.500  0.500
Sm  0.500  0.000  0.500
Sm  0.500  0.500  0.000
Dy  0.242  0.242  0.242
Dy  0.242  0.242  0.757
Dy  0.242  0.757  0.242
Dy  0.243  0.758  0.758
Dy  0.757  0.242  0.242
Dy  0.758  0.243  0.758
Dy  0.758  0.758  0.243
Dy  0.758  0.758  0.758
Sc  0.500  0.500  0.500

---

No. 3
Entry from the Alexandria database: crystalline SmDy3Sc2 at its relaxed geometry (PBE-GGA).

Output
relative energy among the computed polymorphs: 0 meV/atom
formation enthalpy at 0 K: 0.152 eV/atom
space-group type: No. 12
E_tot: -5.046 eV per atom

a b c (Å): 11.445 11.445 9.899
angles (deg): 107.68 107.68 17.04
Positions (direct):
Sm  0.183  0.183  0.045
Sm  0.817  0.817  0.955
Dy  0.060  0.060  0.436
Dy  0.197  0.197  0.708
Dy  0.433  0.433  0.229
Dy  0.567  0.567  0.771
Dy  0.803  0.803  0.292
Dy  0.940  0.940  0.564
Sc  0.192  0.192  0.374
Sc  0.429  0.429  0.859
Sc  0.571  0.571  0.141
Sc  0.808  0.808  0.626

---

No. 4
Entry from the Alexandria database: crystalline Sm7Dy3Sc at its relaxed geometry (PBE-GGA).

Output
relative energy among the computed polymorphs: 113 meV/atom
formation enthalpy at 0 K: 0.239 eV/atom
space-group type: No. 12
E_tot: -4.595 eV per atom

a b c (Å): 8.478 8.478 5.782
angles (deg): 109.93 109.93 83.44
Positions (direct):
Sm  0.000  0.000  0.000
Sm  0.098  0.521  0.310
Sm  0.286  0.286  0.787
Sm  0.479  0.902  0.690
Sm  0.521  0.098  0.310
Sm  0.714  0.714  0.213
Sm  0.902  0.479  0.690
Dy  0.296  0.704  0.000
Dy  0.500  0.500  0.500
Dy  0.704  0.296  0.000
Sc  0.000  0.000  0.500

---

No. 5
Entry from the Alexandria database: crystalline Sm4Dy2Sc3 at its relaxed geometry (PBE-GGA).

Output
formation enthalpy at 0 K: 0.048 eV/atom
space-group type: No. 12
E_tot: -5.183 eV per atom

a b c (Å): 6.013 6.013 10.415
angles (deg): 106.39 106.39 48.82
Positions (direct):
Sm  0.005  0.005  0.336
Sm  0.334  0.334  0.113
Sm  0.666  0.666  0.887
Sm  0.995  0.995  0.664
Dy  0.331  0.331  0.772
Dy  0.669  0.669  0.228
Sc  0.000  0.000  0.000
Sc  0.336  0.336  0.448
Sc  0.664  0.664  0.552

---

No. 6
Entry from the Alexandria database: crystalline Sm4Dy6Sc at its relaxed geometry (PBE-GGA).

Output
formation enthalpy at 0 K: 0.134 eV/atom
space-group type: No. 63
E_tot: -4.667 eV per atom

a b c (Å): 5.574 5.574 25.605
angles (deg): 90.00 90.00 118.50
Positions (direct):
Sm  0.034  0.966  0.622
Sm  0.034  0.966  0.878
Sm  0.346  0.654  0.546
Sm  0.346  0.654  0.954
Sm  0.654  0.346  0.046
Sm  0.654  0.346  0.454
Sm  0.966  0.034  0.122
Sm  0.966  0.034  0.378
Dy  0.000  0.000  0.000
Dy  0.000  0.000  0.500
Dy  0.025  0.975  0.750
Dy  0.306  0.694  0.109
Dy  0.306  0.694  0.391
Dy  0.360  0.640  0.684
Dy  0.360  0.640  0.816
Dy  0.640  0.360  0.184
Dy  0.640  0.360  0.316
Dy  0.694  0.306  0.609
Dy  0.694  0.306  0.891
Dy  0.975  0.025  0.250
Sc  0.310  0.690  0.250
Sc  0.690  0.310  0.750

---

No. 7
Entry from the Alexandria database: crystalline Sm5Dy6Sc at its relaxed geometry (PBE-GGA).

Output
formation enthalpy at 0 K: 0.029 eV/atom
space-group type: No. 71
E_tot: -4.766 eV per atom

a b c (Å): 9.410 9.410 9.410
angles (deg): 149.00 115.48 73.30
Positions (direct):
Sm  0.000  0.000  0.000
Sm  0.166  0.666  0.500
Sm  0.336  0.336  0.000
Sm  0.664  0.664  0.000
Sm  0.834  0.334  0.500
Dy  0.087  0.835  0.253
Dy  0.255  0.500  0.755
Dy  0.418  0.165  0.253
Dy  0.582  0.835  0.747
Dy  0.745  0.500  0.245
Dy  0.913  0.165  0.747
Sc  0.500  0.000  0.500

---

No. 8
Entry from the Alexandria database: crystalline Sm2Dy7Sc2 at its relaxed geometry (PBE-GGA).

Output
relative energy among the computed polymorphs: 0 meV/atom
formation enthalpy at 0 K: 0.168 eV/atom
space-group type: No. 44
E_tot: -4.769 eV per atom

a b c (Å): 10.540 10.540 10.540
angles (deg): 160.29 66.31 117.41
Positions (direct):
Sm  0.000  0.000  0.000
Sm  0.689  0.189  0.500
Dy  0.260  0.622  0.638
Dy  0.342  0.342  0.000
Dy  0.388  0.079  0.308
Dy  0.685  0.840  0.844
Dy  0.771  0.079  0.692
Dy  0.983  0.622  0.362
Dy  0.996  0.840  0.156
Sc  0.147  0.338  0.809
Sc  0.530  0.338  0.191

---

No. 9
Entry from the Alexandria database: crystalline Sm6Dy2Sc at its relaxed geometry (PBE-GGA).

Output
relative energy among the computed polymorphs: 0 meV/atom
formation enthalpy at 0 K: 0.095 eV/atom
space-group type: No. 15
E_tot: -4.777 eV per atom

a b c (Å): 9.976 9.976 6.159
angles (deg): 94.94 94.94 71.48
Positions (direct):
Sm  0.094  0.810  0.988
Sm  0.150  0.433  0.148
Sm  0.190  0.906  0.512
Sm  0.252  0.524  0.675
Sm  0.433  0.150  0.648
Sm  0.476  0.748  0.825
Sm  0.524  0.252  0.175
Sm  0.567  0.850  0.352
Sm  0.748  0.476  0.325
Sm  0.810  0.094  0.488
Sm  0.850  0.567  0.852
Sm  0.906  0.190  0.012
Dy  0.070  0.270  0.573
Dy  0.270  0.070  0.073
Dy  0.730  0.930  0.927
Dy  0.930  0.730  0.427
Sc  0.396  0.604  0.250
Sc  0.604  0.396  0.750

---

No. 10
Entry from the Alexandria database: crystalline Sm4DySc3 at its relaxed geometry (PBE-GGA).

Output
relative energy among the computed polymorphs: 89 meV/atom
formation enthalpy at 0 K: 0.130 eV/atom
space-group type: No. 12
E_tot: -5.179 eV per atom

a b c (Å): 15.615 5.647 5.856
angles (deg): 90.00 111.47 90.00
Positions (direct):
Sm  0.129  0.000  0.079
Sm  0.248  0.500  0.304
Sm  0.252  0.000  0.696
Sm  0.371  0.500  0.921
Sm  0.629  0.500  0.079
Sm  0.748  0.000  0.304
Sm  0.752  0.500  0.696
Sm  0.871  0.000  0.921
Dy  0.000  0.000  0.500
Dy  0.500  0.500  0.500
Sc  0.000  0.500  0.000
Sc  0.124  0.500  0.670
Sc  0.376  0.000  0.330
Sc  0.500  0.000  0.000
Sc  0.624  0.000  0.670
Sc  0.876  0.500  0.330

---

No. 11
Entry from the Alexandria database: crystalline Sm4DySc at its relaxed geometry (PBE-GGA).

Output
relative energy among the computed polymorphs: 0 meV/atom
formation enthalpy at 0 K: 0.035 eV/atom
space-group type: No. 12
E_tot: -4.933 eV per atom

a b c (Å): 6.160 10.628 6.158
angles (deg): 90.00 109.39 90.00
Positions (direct):
Sm  0.000  0.164  0.000
Sm  0.000  0.333  0.500
Sm  0.000  0.667  0.500
Sm  0.000  0.836  0.000
Sm  0.500  0.167  0.500
Sm  0.500  0.336  0.000
Sm  0.500  0.664  0.000
Sm  0.500  0.833  0.500
Dy  0.000  0.500  0.000
Dy  0.500  0.000  0.000
Sc  0.000  0.000  0.500
Sc  0.500  0.500  0.500

---

No. 12
Entry from the Alexandria database: crystalline SmDy2Sc7 at its relaxed geometry (PBE-GGA).

Output
relative energy among the computed polymorphs: 0 meV/atom
formation enthalpy at 0 K: 0.058 eV/atom
space-group type: No. 12
E_tot: -5.766 eV per atom

a b c (Å): 8.881 8.881 6.699
angles (deg): 101.48 101.48 31.03
Positions (direct):
Sm  0.000  0.000  0.000
Dy  0.198  0.198  0.602
Dy  0.802  0.802  0.398
Sc  0.000  0.000  0.500
Sc  0.200  0.200  0.099
Sc  0.399  0.399  0.199
Sc  0.401  0.401  0.698
Sc  0.599  0.599  0.302
Sc  0.601  0.601  0.801
Sc  0.800  0.800  0.901